1.
Here is a geometry-optimized CeGa2IrO8 structure from the Alexandria database. Energies are from PBE-GGA.

For the final energy, the calculation gives -6.73 eV/atom. As for the space group: P2/m.

The structure in POSCAR format:
```
CeGa2IrO8
1.0
4.719 0.000 0.000
0.000 6.419 0.000
-0.003 0.000 4.722
Ce Ga Ir O
1 2 1 8
Direct
0.000 0.000 0.000 Ce
0.500 0.252 0.500 Ga
0.500 0.748 0.500 Ga
0.000 0.500 0.000 Ir
0.209 0.282 0.793 O
0.209 0.718 0.793 O
0.289 0.500 0.291 O
0.319 0.000 0.321 O
0.681 0.000 0.679 O
0.711 0.500 0.709 O
0.791 0.282 0.207 O
0.791 0.718 0.207 O
```

2.
Here is a geometry-optimized Ce3GaP2Ir9 structure from the Alexandria database. Energies are from PBE-GGA.

As for the space group: P-3m1. The formation energy is -0.4787 eV per atom.

The structure in POSCAR format:
```
Ce3GaP2Ir9
1.0
5.605 0.000 0.000
-2.803 4.854 0.000
0.000 0.000 10.498
Ce Ga P Ir
3 1 2 9
Direct
0.000 0.000 0.000 Ce
0.333 0.667 0.594 Ce
0.667 0.333 0.406 Ce
0.000 0.000 0.500 Ga
0.333 0.667 0.161 P
0.667 0.333 0.839 P
0.000 0.500 0.000 Ir
0.162 0.324 0.310 Ir
0.162 0.838 0.310 Ir
0.324 0.162 0.690 Ir
0.500 0.000 0.000 Ir
0.500 0.500 0.000 Ir
0.676 0.838 0.310 Ir
0.838 0.162 0.690 Ir
0.838 0.676 0.690 Ir
```

3.
Here is a geometry-optimized Ce2GaP3Ir4 structure from the Alexandria database. Energies are from PBE-GGA.

As for the space group: P-4m2. The formation energy is -0.9468 eV per atom.

The structure in POSCAR format:
```
Ce2GaP3Ir4
1.0
4.092 0.000 0.000
0.000 4.092 0.000
0.000 0.000 10.089
Ce Ga P Ir
2 1 3 4
Direct
0.000 0.500 0.250 Ce
0.500 0.000 0.750 Ce
0.000 0.000 0.500 Ga
0.000 0.500 0.865 P
0.500 0.000 0.135 P
0.500 0.500 0.500 P
0.000 0.000 0.000 Ir
0.000 0.500 0.636 Ir
0.500 0.000 0.364 Ir
0.500 0.500 0.000 Ir
```

4.
Here is a geometry-optimized Ce2GaPIr6 structure from the Alexandria database. Energies are from PBE-GGA.

As for the space group: Pmmn. The formation energy is -0.5506 eV per atom.

The structure in POSCAR format:
```
Ce2GaPIr6
1.0
5.468 0.000 0.000
0.000 8.611 0.000
0.000 0.000 8.004
Ce Ga P Ir
4 2 2 12
Direct
0.250 0.013 0.223 Ce
0.250 0.487 0.223 Ce
0.750 0.513 0.777 Ce
0.750 0.987 0.777 Ce
0.250 0.750 0.783 Ga
0.750 0.250 0.217 Ga
0.250 0.250 0.730 P
0.750 0.750 0.270 P
0.003 0.750 0.514 Ir
0.005 0.750 0.043 Ir
0.250 0.002 0.599 Ir
0.250 0.498 0.599 Ir
0.495 0.750 0.043 Ir
0.497 0.750 0.514 Ir
0.503 0.250 0.486 Ir
0.505 0.250 0.957 Ir
0.750 0.502 0.401 Ir
0.750 0.998 0.401 Ir
0.995 0.250 0.957 Ir
0.997 0.250 0.486 Ir
```

5.
Here is a geometry-optimized CeGaP2Ir5 structure from the Alexandria database. Energies are from PBE-GGA.

As for the space group: P4/mmm. The formation energy is -0.5515 eV per atom.

The structure in POSCAR format:
```
CeGaP2Ir5
1.0
4.054 0.000 0.000
0.000 4.054 0.000
0.000 0.000 9.866
Ce Ga P Ir
1 1 2 5
Direct
0.000 0.000 0.000 Ce
0.000 0.000 0.500 Ga
0.500 0.500 0.232 P
0.500 0.500 0.768 P
0.000 0.500 0.340 Ir
0.000 0.500 0.660 Ir
0.500 0.000 0.340 Ir
0.500 0.000 0.660 Ir
0.500 0.500 0.000 Ir
```

6.
Here is a geometry-optimized CeGaIrPd structure from the Alexandria database. Energies are from PBE-GGA.

As for the space group: F-43m. The formation energy is -0.5877 eV per atom.

The structure in POSCAR format:
```
CeGaIrPd
1.0
0.000 3.337 3.337
3.337 0.000 3.337
3.337 3.337 0.000
Ce Ga Ir Pd
1 1 1 1
Direct
0.000 0.000 0.000 Ce
0.500 0.500 0.500 Ga
0.750 0.750 0.750 Ir
0.250 0.250 0.250 Pd
```

7.
Here is a geometry-optimized CePmGaIr structure from the Alexandria database. Energies are from PBE-GGA.

As for the excess energy over the best structure of this formula in the dataset: 186 meV/atom. As for the space group: F-43m. The formation energy is -0.5126 eV per atom.

The structure in POSCAR format:
```
CePmGaIr
1.0
0.000 3.584 3.584
3.584 0.000 3.584
3.584 3.584 0.000
Ce Pm Ga Ir
1 1 1 1
Direct
0.000 0.000 0.000 Ce
0.500 0.500 0.500 Pm
0.750 0.750 0.750 Ga
0.250 0.250 0.250 Ir
```

8.
Here is a geometry-optimized CePmGaIr structure from the Alexandria database. Energies are from PBE-GGA.

As for the excess energy over the best structure of this formula in the dataset: 0 meV/atom. As for the space group: Amm2. The formation energy is -0.6986 eV per atom.

The structure in POSCAR format:
```
CePmGaIr
1.0
3.907 0.000 0.000
0.000 2.097 5.819
0.000 -2.097 5.819
Ce Pm Ga Ir
1 1 1 1
Direct
0.000 0.000 0.000 Ce
0.500 0.722 0.722 Pm
0.000 0.303 0.303 Ga
0.500 0.462 0.462 Ir
```

9.
Here is a geometry-optimized CeGa3IrPt structure from the Alexandria database. Energies are from PBE-GGA.

As for the space group: Cmcm. The formation energy is -0.4477 eV per atom.

The structure in POSCAR format:
```
CeGa3IrPt
1.0
4.021 -5.490 0.000
4.021 5.490 0.000
0.000 0.000 5.869
Ce Ga Ir Pt
2 6 2 2
Direct
0.244 0.756 0.750 Ce
0.756 0.244 0.250 Ce
0.243 0.757 0.250 Ga
0.250 0.250 0.000 Ga
0.250 0.250 0.500 Ga
0.750 0.750 0.000 Ga
0.750 0.750 0.500 Ga
0.757 0.243 0.750 Ga
0.027 0.973 0.250 Ir
0.973 0.027 0.750 Ir
0.460 0.540 0.250 Pt
0.540 0.460 0.750 Pt
```

10.
Here is a geometry-optimized CeGa4IrPt2 structure from the Alexandria database. Energies are from PBE-GGA.

As for the space group: R-3m. The formation energy is -0.6352 eV per atom.

The structure in POSCAR format:
```
CeGa4IrPt2
1.0
2.148 1.240 8.828
-2.148 1.240 8.828
0.000 -2.480 8.828
Ce Ga Ir Pt
1 4 1 2
Direct
0.000 0.000 0.000 Ce
0.133 0.133 0.133 Ga
0.399 0.399 0.399 Ga
0.601 0.601 0.601 Ga
0.867 0.867 0.867 Ga
0.500 0.500 0.500 Ir
0.237 0.237 0.237 Pt
0.763 0.763 0.763 Pt
```

11.
Here is a geometry-optimized Ce2Ga3IrPt12 structure from the Alexandria database. Energies are from PBE-GGA.

As for the space group: R-3m. The formation energy is -0.3258 eV per atom.

The structure in POSCAR format:
```
Ce2Ga3IrPt12
1.0
4.040 2.333 6.405
-4.040 2.333 6.405
0.000 -4.665 6.405
Ce Ga Ir Pt
2 3 1 12
Direct
0.124 0.124 0.124 Ce
0.876 0.876 0.876 Ce
0.000 0.500 0.500 Ga
0.500 0.000 0.500 Ga
0.500 0.500 0.000 Ga
0.500 0.500 0.500 Ir
0.113 0.636 0.636 Pt
0.121 0.121 0.627 Pt
0.121 0.627 0.121 Pt
0.364 0.364 0.887 Pt
0.364 0.887 0.364 Pt
0.373 0.879 0.879 Pt
0.627 0.121 0.121 Pt
0.636 0.113 0.636 Pt
0.636 0.636 0.113 Pt
0.879 0.373 0.879 Pt
0.879 0.879 0.373 Pt
0.887 0.364 0.364 Pt
```

12.
Here is a geometry-optimized CeGa5Ir2Pt structure from the Alexandria database. Energies are from PBE-GGA.

As for the space group: P4/mmm. The formation energy is -0.3101 eV per atom.

The structure in POSCAR format:
```
CeGa5Ir2Pt
1.0
4.825 0.000 0.000
0.000 4.825 0.000
0.000 0.000 7.726
Ce Ga Ir Pt
1 5 2 1
Direct
0.000 0.000 0.000 Ce
0.000 0.500 0.323 Ga
0.000 0.500 0.677 Ga
0.500 0.000 0.323 Ga
0.500 0.000 0.677 Ga
0.500 0.500 0.000 Ga
0.500 0.500 0.296 Ir
0.500 0.500 0.704 Ir
0.000 0.000 0.500 Pt
```

13.
Here is a geometry-optimized Ce2Ga4Ir3Pt structure from the Alexandria database. Energies are from PBE-GGA.

As for the space group: P-4m2. The formation energy is -0.7501 eV per atom.

The structure in POSCAR format:
```
Ce2Ga4Ir3Pt
1.0
4.190 0.000 0.000
0.000 4.190 0.000
0.000 0.000 10.662
Ce Ga Ir Pt
2 4 3 1
Direct
0.000 0.500 0.247 Ce
0.500 0.000 0.753 Ce
0.000 0.000 0.000 Ga
0.000 0.500 0.631 Ga
0.500 0.000 0.369 Ga
0.500 0.500 0.000 Ga
0.000 0.500 0.863 Ir
0.500 0.000 0.137 Ir
0.500 0.500 0.500 Ir
0.000 0.000 0.500 Pt
```

14.
Here is a geometry-optimized Ce2Ga3IrPt4 structure from the Alexandria database. Energies are from PBE-GGA.

As for the space group: P-4m2. The formation energy is -0.8093 eV per atom.

The structure in POSCAR format:
```
Ce2Ga3IrPt4
1.0
4.035 0.000 0.000
0.000 4.035 0.000
0.000 0.000 11.670
Ce Ga Ir Pt
2 3 1 4
Direct
0.000 0.500 0.231 Ce
0.500 0.000 0.769 Ce
0.000 0.000 0.000 Ga
0.000 0.500 0.629 Ga
0.500 0.000 0.371 Ga
0.500 0.500 0.000 Ir
0.000 0.000 0.500 Pt
0.000 0.500 0.841 Pt
0.500 0.000 0.159 Pt
0.500 0.500 0.500 Pt
```

15.
Here is a geometry-optimized CePuGaIr structure from the Alexandria database. Energies are from PBE-GGA.

As for the excess energy over the best structure of this formula in the dataset: 134 meV/atom. As for the space group: P3m1. The formation energy is -0.4075 eV per atom.

The structure in POSCAR format:
```
CePuGaIr
1.0
4.740 0.000 0.000
-2.370 4.105 0.000
0.000 0.000 5.070
Ce Pu Ga Ir
1 1 1 1
Direct
0.000 0.000 0.000 Ce
0.667 0.333 0.432 Pu
0.333 0.667 0.716 Ga
0.333 0.667 0.218 Ir
```

16.
Here is a geometry-optimized CePuGaIr structure from the Alexandria database. Energies are from PBE-GGA.

As for the excess energy over the best structure of this formula in the dataset: 0 meV/atom. As for the space group: F-43m. The formation energy is -0.5418 eV per atom.

The structure in POSCAR format:
```
CePuGaIr
1.0
0.000 3.404 3.404
3.404 0.000 3.404
3.404 3.404 0.000
Ce Pu Ga Ir
1 1 1 1
Direct
0.000 0.000 0.000 Ce
0.750 0.750 0.750 Pu
0.250 0.250 0.250 Ga
0.500 0.500 0.500 Ir
```

17.
Here is a geometry-optimized CeGa3IrRh structure from the Alexandria database. Energies are from PBE-GGA.

As for the space group: Cmcm. The formation energy is -0.5013 eV per atom.

The structure in POSCAR format:
```
CeGa3IrRh
1.0
3.925 -5.392 0.000
3.925 5.392 0.000
0.000 0.000 5.590
Ce Ga Ir Rh
2 6 2 2
Direct
0.205 0.795 0.750 Ce
0.795 0.205 0.250 Ce
0.239 0.239 0.000 Ga
0.239 0.239 0.500 Ga
0.328 0.672 0.250 Ga
0.672 0.328 0.750 Ga
0.761 0.761 0.000 Ga
0.761 0.761 0.500 Ga
0.097 0.903 0.250 Ir
0.903 0.097 0.750 Ir
0.438 0.562 0.750 Rh
0.562 0.438 0.250 Rh
```

18.
Here is a geometry-optimized CeGa4IrRh2 structure from the Alexandria database. Energies are from PBE-GGA.

As for the space group: R-3m. The formation energy is -0.6137 eV per atom.

The structure in POSCAR format:
```
CeGa4IrRh2
1.0
2.129 1.229 8.748
-2.129 1.229 8.748
0.000 -2.459 8.748
Ce Ga Ir Rh
1 4 1 2
Direct
0.000 0.000 0.000 Ce
0.131 0.131 0.131 Ga
0.401 0.401 0.401 Ga
0.599 0.599 0.599 Ga
0.869 0.869 0.869 Ga
0.500 0.500 0.500 Ir
0.234 0.234 0.234 Rh
0.766 0.766 0.766 Rh
```

19.
Here is a geometry-optimized CeGa5Ir2Rh structure from the Alexandria database. Energies are from PBE-GGA.

As for the space group: P4/mmm. The formation energy is -0.2712 eV per atom.

The structure in POSCAR format:
```
CeGa5Ir2Rh
1.0
4.805 0.000 0.000
0.000 4.805 0.000
0.000 0.000 7.633
Ce Ga Ir Rh
1 5 2 1
Direct
0.000 0.000 0.000 Ce
0.000 0.500 0.323 Ga
0.000 0.500 0.677 Ga
0.500 0.000 0.323 Ga
0.500 0.000 0.677 Ga
0.500 0.500 0.000 Ga
0.500 0.500 0.301 Ir
0.500 0.500 0.699 Ir
0.000 0.000 0.500 Rh
```

20.
Here is a geometry-optimized Ce2Ga4IrRh3 structure from the Alexandria database. Energies are from PBE-GGA.

As for the space group: P-4m2. The formation energy is -0.7532 eV per atom.

The structure in POSCAR format:
```
Ce2Ga4IrRh3
1.0
4.283 0.000 0.000
0.000 4.283 0.000
0.000 0.000 10.130
Ce Ga Ir Rh
2 4 1 3
Direct
0.000 0.500 0.238 Ce
0.500 0.000 0.762 Ce
0.000 0.000 0.500 Ga
0.000 0.500 0.872 Ga
0.500 0.000 0.128 Ga
0.500 0.500 0.500 Ga
0.500 0.500 0.000 Ir
0.000 0.000 0.000 Rh
0.000 0.500 0.630 Rh
0.500 0.000 0.370 Rh
```

21.
Here is a geometry-optimized CeGaIrRh structure from the Alexandria database. Energies are from PBE-GGA.

As for the space group: F-43m. The formation energy is -0.5935 eV per atom.

The structure in POSCAR format:
```
CeGaIrRh
1.0
0.000 3.297 3.297
3.297 0.000 3.297
3.297 3.297 0.000
Ce Ga Ir Rh
1 1 1 1
Direct
0.000 0.000 0.000 Ce
0.500 0.500 0.500 Ga
0.250 0.250 0.250 Ir
0.750 0.750 0.750 Rh
```

22.
Here is a geometry-optimized Ce2Ga4Ir3Rh structure from the Alexandria database. Energies are from PBE-GGA.

As for the space group: P-4m2. The formation energy is -0.7202 eV per atom.

The structure in POSCAR format:
```
Ce2Ga4Ir3Rh
1.0
4.263 0.000 0.000
0.000 4.263 0.000
0.000 0.000 10.267
Ce Ga Ir Rh
2 4 3 1
Direct
0.000 0.500 0.243 Ce
0.500 0.000 0.757 Ce
0.000 0.000 0.500 Ga
0.000 0.500 0.875 Ga
0.500 0.000 0.125 Ga
0.500 0.500 0.500 Ga
0.000 0.000 0.000 Ir
0.000 0.500 0.635 Ir
0.500 0.000 0.365 Ir
0.500 0.500 0.000 Rh
```

23.
Here is a geometry-optimized CeGaIrRu structure from the Alexandria database. Energies are from PBE-GGA.

As for the space group: F-43m. The formation energy is -0.4413 eV per atom.

The structure in POSCAR format:
```
CeGaIrRu
1.0
0.000 3.276 3.276
3.276 0.000 3.276
3.276 3.276 0.000
Ce Ga Ir Ru
1 1 1 1
Direct
0.000 0.000 0.000 Ce
0.500 0.500 0.500 Ga
0.250 0.250 0.250 Ir
0.750 0.750 0.750 Ru
```